Entry 1:
A plane-wave DFT calculation with PBE was carried out for PaPW after structural relaxation.

a b c (Å): 4.176 4.176 8.135
angles (deg): 75.13 75.13 60.00
Sites, in units of the cell vectors:
W1 0.712 0.712 0.863
W2 0.288 0.288 0.137
P1 0.393 0.393 0.822
Pa1 0.125 0.125 0.624
Pa2 0.875 0.875 0.376
P2 0.607 0.607 0.178

formation energy: -131 meV per atom
total magnetic moment: 0.006 μB per atom

Entry 2:
A plane-wave DFT calculation with PBE was carried out for MgUGe2 after structural relaxation.

a b c (Å): 3.913 4.517 4.517
angles (deg): 90.00 90.00 90.00
Sites, in units of the cell vectors:
U1 0.500 0.500 0.500
Mg1 0.500 0.000 0.000
Ge1 0.000 0.500 0.000
Ge2 0.000 0.000 0.500

formation energy: -229 meV per atom
total magnetic moment: 0.416 μB per atom

Entry 3:
A plane-wave DFT calculation with PBE was carried out for YMn2V after structural relaxation.

a b c (Å): 4.452 4.452 8.407
angles (deg): 74.65 74.65 90.00
Sites, in units of the cell vectors:
Y1 0.750 0.250 0.500
V1 0.250 0.750 0.500
Mn1 0.375 0.125 0.250
Mn2 0.375 0.625 0.750
Mn3 0.875 0.625 0.750
Y2 0.000 0.000 0.000
Mn4 0.375 0.625 0.250
V2 0.500 0.500 0.000

offset from the most stable computed form: 140 kJ/mol of formula units
formation energy: 633 meV per atom
total magnetic moment: 0.203 μB per atom

Entry 4:
A plane-wave DFT calculation with PBE was carried out for CeMg2Pd2 after structural relaxation.

a b c (Å): 4.767 5.191 8.713
angles (deg): 101.20 90.00 90.00
Sites, in units of the cell vectors:
Ce1 0.250 0.820 0.221
Mg1 0.750 0.278 0.158
Mg2 0.250 0.354 0.491
Mg3 0.750 0.646 0.509
Pd1 0.250 0.891 0.574
Pd2 0.750 0.109 0.426
Pd3 0.750 0.707 0.006
Pd4 0.250 0.293 0.994
Ce2 0.750 0.180 0.779
Mg4 0.250 0.722 0.842

formation energy: -551 meV per atom
total magnetic moment: 0.178 μB per atom

Entry 5:
A plane-wave DFT calculation with PBE was carried out for MgCrCuTc2 after structural relaxation.

a b c (Å): 4.471 4.316 4.471
angles (deg): 90.00 90.00 90.00
Sites, in units of the cell vectors:
Cu1 0.500 0.500 0.500
Cr1 0.000 0.500 0.000
Mg1 0.000 0.000 0.000
Tc1 0.500 0.000 0.000
Tc2 0.000 0.000 0.500

formation energy: 2254 meV per atom
total magnetic moment: 0.001 μB per atom

Entry 6:
A plane-wave DFT calculation with PBE was carried out for KTl2Cl after structural relaxation.

a b c (Å): 8.590 8.590 4.500
angles (deg): 74.82 74.82 27.78
Sites, in units of the cell vectors:
Tl1 0.033 0.033 0.967
Cl1 0.750 0.750 0.750
Tl2 0.467 0.467 0.533
K1 0.250 0.250 0.250

offset from the most stable computed form: 0 kJ/mol of formula units
total magnetic moment: 0.000 μB per atom

Entry 7:
A plane-wave DFT calculation with PBE was carried out for InPd14Pt after structural relaxation.

a b c (Å): 5.594 5.594 9.211
angles (deg): 90.00 90.00 119.52
Sites, in units of the cell vectors:
Pd1 0.375 0.625 0.750
Pd2 0.874 0.624 0.249
Pd3 0.706 0.794 0.000
Pd4 0.376 0.126 0.249
Pd5 0.544 0.956 0.500
Pd6 0.206 0.294 0.000
Pt1 0.543 0.457 0.500
Pd7 0.706 0.294 0.000
Pd8 0.874 0.624 0.751
Pd9 0.376 0.126 0.751
Pd10 0.044 0.456 0.500
Pd11 0.875 0.125 0.752
Pd12 0.875 0.125 0.248
Pd13 0.206 0.794 0.000
In1 0.043 0.957 0.500
Pd14 0.375 0.625 0.250

formation energy: -96 meV per atom
total magnetic moment: 0.000 μB per atom

Entry 8:
A plane-wave DFT calculation with PBE was carried out for NaSr2ZnAs after structural relaxation.

a b c (Å): 6.077 4.935 6.077
angles (deg): 90.00 90.00 90.00
Sites, in units of the cell vectors:
Na1 0.500 0.500 0.500
As1 0.000 0.500 0.000
Sr1 0.500 0.000 0.000
Zn1 0.000 0.000 0.000
Sr2 0.000 0.000 0.500

formation energy: -104 meV per atom
total magnetic moment: 0.000 μB per atom

Entry 9:
A plane-wave DFT calculation with PBE was carried out for SrRe3Se after structural relaxation.

a b c (Å): 4.859 4.859 4.859
angles (deg): 90.00 90.00 90.00
Sites, in units of the cell vectors:
Se1 0.500 0.500 0.500
Re1 0.000 0.000 0.500
Sr1 0.000 0.000 0.000
Re2 0.500 0.000 0.000
Re3 0.000 0.500 0.000

offset from the most stable computed form: 1198 kJ/mol of formula units
total magnetic moment: 0.455 μB per atom

Entry 10:
A plane-wave DFT calculation with PBE was carried out for TeHSI2 after structural relaxation.

a b c (Å): 5.594 5.594 3.856
angles (deg): 90.00 90.00 90.00
Sites, in units of the cell vectors:
I1 0.500 0.000 0.000
S1 0.500 0.500 0.500
Te1 0.000 0.000 0.500
H1 0.000 0.000 0.000
I2 0.000 0.500 0.000

offset from the most stable computed form: 0 kJ/mol of formula units
total magnetic moment: 0.000 μB per atom

Entry 11:
A plane-wave DFT calculation with PBE was carried out for TeHS5 after structural relaxation.

a b c (Å): 9.418 6.281 8.566
angles (deg): 89.86 118.78 108.82
Sites, in units of the cell vectors:
S1 0.916 0.548 0.515
S2 0.538 0.855 0.518
S3 0.084 0.452 0.485
S4 0.199 0.004 0.352
S5 0.462 0.145 0.482
S6 0.082 0.449 0.104
Te1 0.000 0.000 0.500
S7 0.614 0.968 0.090
S8 0.801 0.996 0.648
H1 0.282 0.812 0.880
H2 0.718 0.188 0.120
S9 0.918 0.551 0.896
Te2 0.000 0.000 0.000
S10 0.386 0.032 0.910

energy: -52.298 eV per cell
total magnetic moment: 0.000 μB per atom

Entry 12:
A plane-wave DFT calculation with PBE was carried out for BaLaCr2 after structural relaxation.

a b c (Å): 6.923 6.923 6.923
angles (deg): 147.68 136.39 55.31
Sites, in units of the cell vectors:
La1 0.496 0.496 0.000
Cr1 0.836 0.336 0.500
Ba1 0.217 0.717 0.500
Cr2 0.951 0.951 0.000

offset from the most stable computed form: 20 kJ/mol of formula units
formation energy: 606 meV per atom
total magnetic moment: 0.057 μB per atom

Entry 13:
A plane-wave DFT calculation with PBE was carried out for Ca2Mg after structural relaxation.

a b c (Å): 7.178 5.580 10.471
angles (deg): 90.00 90.00 90.00
Sites, in units of the cell vectors:
Ca1 0.326 0.750 0.067
Ca2 0.546 0.250 0.285
Mg1 0.195 0.250 0.894
Ca3 0.174 0.250 0.567
Ca4 0.046 0.250 0.215
Ca5 0.954 0.750 0.785
Ca6 0.674 0.250 0.933
Mg2 0.695 0.250 0.606
Mg3 0.305 0.750 0.394
Ca7 0.826 0.750 0.433
Ca8 0.454 0.750 0.715
Mg4 0.805 0.750 0.106

formation energy: -38 meV per atom
total magnetic moment: 0.000 μB per atom

Entry 14:
A plane-wave DFT calculation with PBE was carried out for Na2Li3MgSb4 after structural relaxation.

a b c (Å): 4.454 4.454 12.758
angles (deg): 90.00 90.00 90.00
Sites, in units of the cell vectors:
Na1 0.500 0.000 0.267
Sb1 0.000 0.500 0.358
Li1 0.500 0.000 0.854
Mg1 0.500 0.500 0.500
Na2 0.000 0.500 0.733
Li2 0.000 0.000 0.500
Li3 0.000 0.500 0.146
Sb2 0.500 0.500 0.000
Sb3 0.500 0.000 0.642
Sb4 0.000 0.000 0.000

energy: -30.722 eV per cell
total magnetic moment: 0.000 μB per atom

Entry 15:
A plane-wave DFT calculation with PBE was carried out for La2Nd2SmCd5 after structural relaxation.

a b c (Å): 4.931 10.849 10.849
angles (deg): 90.00 90.00 90.00
Sites, in units of the cell vectors:
Cd1 0.500 0.569 0.691
La1 0.000 0.324 0.824
Nd1 0.000 0.375 0.125
La2 0.000 0.676 0.176
La3 0.000 0.824 0.676
Cd2 0.500 0.309 0.569
Cd3 0.500 0.069 0.809
Cd4 0.500 0.691 0.431
Cd5 0.500 0.191 0.069
Cd6 0.500 0.431 0.309
Cd7 0.500 0.809 0.931
Nd2 0.000 0.875 0.375
Cd8 0.500 0.000 0.500
Cd9 0.500 0.931 0.191
Sm1 0.000 0.500 0.500
Nd3 0.000 0.625 0.875
Nd4 0.000 0.125 0.625
Cd10 0.500 0.500 0.000
Sm2 0.000 0.000 0.000
La4 0.000 0.176 0.324

formation energy: -201 meV per atom
total magnetic moment: 0.000 μB per atom

Entry 16:
A plane-wave DFT calculation with PBE was carried out for PrTm2Tl3Te6 after structural relaxation.

a b c (Å): 7.751 7.751 8.582
angles (deg): 98.67 98.67 119.98
Sites, in units of the cell vectors:
Pr1 0.000 0.000 0.000
Tl1 0.500 0.500 0.500
Tm1 0.333 0.667 0.000
Tl2 0.837 0.163 0.500
Tl3 0.163 0.837 0.500
Tm2 0.667 0.333 0.000
Te1 0.275 0.275 0.788
Te2 0.928 0.583 0.785
Te3 0.583 0.928 0.785
Te4 0.072 0.417 0.215
Te5 0.417 0.072 0.215
Te6 0.725 0.725 0.212

energy: -52.162 eV per cell
total magnetic moment: 0.000 μB per atom

Entry 17:
A plane-wave DFT calculation with PBE was carried out for NdZrAl2 after structural relaxation.

a b c (Å): 3.669 3.669 6.704
angles (deg): 90.00 90.00 90.00
Sites, in units of the cell vectors:
Al1 0.000 0.000 0.794
Nd1 0.500 0.500 0.500
Zr1 0.500 0.500 0.000
Al2 0.000 0.000 0.206

offset from the most stable computed form: 0 kJ/mol of formula units
formation energy: -333 meV per atom
total magnetic moment: 0.044 μB per atom

Entry 18:
A plane-wave DFT calculation with PBE was carried out for HoSc4Cd2 after structural relaxation.

a b c (Å): 6.119 6.119 6.119
angles (deg): 103.75 103.75 121.64
Sites, in units of the cell vectors:
Ho1 0.500 0.500 0.000
Sc1 0.800 0.800 0.601
Sc2 0.200 0.800 0.000
Sc3 0.800 0.200 0.000
Cd1 0.750 0.250 0.500
Sc4 0.200 0.200 0.399
Cd2 0.250 0.750 0.500

formation energy: -2 meV per atom
total magnetic moment: 0.004 μB per atom

Entry 19:
A plane-wave DFT calculation with PBE was carried out for TlVIr2 after structural relaxation.

a b c (Å): 7.216 7.216 5.805
angles (deg): 51.57 51.57 90.00
Sites, in units of the cell vectors:
Ir1 0.875 0.819 0.750
V1 0.250 0.750 0.500
Ir2 0.569 0.125 0.250
Ir3 0.375 0.431 0.750
Ir4 0.181 0.625 0.250
Tl1 0.000 0.000 0.000
V2 0.500 0.500 0.000
Tl2 0.750 0.250 0.500

offset from the most stable computed form: 36 kJ/mol of formula units
formation energy: 382 meV per atom
total magnetic moment: 0.000 μB per atom

Entry 20:
A plane-wave DFT calculation with PBE was carried out for CsNaMg2I after structural relaxation.

a b c (Å): 6.010 6.010 6.537
angles (deg): 90.00 90.00 90.00
Sites, in units of the cell vectors:
I1 0.000 0.000 0.500
Mg1 0.000 0.500 0.000
Mg2 0.500 0.000 0.000
Cs1 0.500 0.500 0.500
Na1 0.000 0.000 0.000

energy: -7.355 eV per cell
total magnetic moment: 0.000 μB per atom